# 1
Compound: Ac12TlGe6
Source: Alexandria
Functional: GGA-PBE
Structure: relaxed

Its formation energy is -499 meV per atom. The value obtained for the magnetic moment is 0.00 μB per formula unit.

Lattice parameters (Å, degrees): 11.084 11.084 11.084 90.00 90.00 90.00
Space group Im-3 (No. 204)
Symmetry-distinct sites (fractional):
Ac (0.000, 0.298, 0.188) [24 per cell]
Tl (0.000, 0.000, 0.000) [2 per cell]
Ge (0.000, 0.115, 0.500) [12 per cell]

# 2
Compound: CaBeNb2B
Source: Alexandria
Functional: GGA-PBE
Structure: relaxed

Its formation energy is 437 meV per atom. The value obtained for the magnetic moment is 0.00 μB per formula unit.

Lattice parameters (Å, degrees): 4.542 4.542 3.979 90.00 90.00 90.00
Space group P4/mmm (No. 123)
Symmetry-distinct sites (fractional):
Ca (0.000, 0.000, 0.000) [1 per cell]
Be (0.500, 0.500, 0.000) [1 per cell]
Nb (0.000, 0.500, 0.500) [2 per cell]
B (0.500, 0.500, 0.500) [1 per cell]

# 3
Compound: Mg3Ga3Au
Source: Alexandria
Functional: GGA-PBE
Structure: relaxed

Its formation energy is -262 meV per atom. The value obtained for the magnetic moment is 0.00 μB per formula unit.

Lattice parameters (Å, degrees): 9.864 4.077 14.376 90.00 106.32 90.00
Space group C2/m (No. 12)
Symmetry-distinct sites (fractional):
Mg (0.009, 0.000, 0.364) [4 per cell]
Mg (0.111, 0.000, 0.927) [4 per cell]
Mg (0.227, 0.000, 0.226) [4 per cell]
Ga (0.003, 0.500, 0.218) [4 per cell]
Ga (0.112, 0.500, 0.075) [4 per cell]
Ga (0.137, 0.500, 0.534) [4 per cell]
Au (0.225, 0.500, 0.370) [4 per cell]

# 4
Compound: SmY4Zn5
Source: Alexandria
Functional: GGA-PBE
Structure: relaxed

Its formation energy is -349 meV per atom. The value obtained for the magnetic moment is 0.00 μB per formula unit.

Lattice parameters (Å, degrees): 3.591 3.591 17.985 90.00 90.00 90.00
Space group P4/mmm (No. 123)
Symmetry-distinct sites (fractional):
Sm (0.000, 0.000, 0.000) [1 per cell]
Y (0.000, 0.000, 0.202) [2 per cell]
Y (0.000, 0.000, 0.401) [2 per cell]
Zn (0.500, 0.500, 0.105) [2 per cell]
Zn (0.500, 0.500, 0.302) [2 per cell]
Zn (0.500, 0.500, 0.500) [1 per cell]

# 5
Compound: La2PmY2Mg5
Source: Alexandria
Functional: GGA-PBE
Structure: relaxed

Its formation energy is 4 meV per atom. The value obtained for the magnetic moment is 0.00 μB per formula unit.

Lattice parameters (Å, degrees): 10.748 10.748 5.146 90.00 90.00 90.00
Space group P4/mbm (No. 127)
Symmetry-distinct sites (fractional):
La (0.176, 0.324, 0.000) [4 per cell]
Pm (0.000, 0.000, 0.000) [2 per cell]
Y (0.121, 0.621, 0.000) [4 per cell]
Mg (0.000, 0.500, 0.500) [2 per cell]
Mg (0.072, 0.801, 0.500) [8 per cell]

Please write out number 3 again, unchanged.
Compound: Mg3Ga3Au
Source: Alexandria
Functional: GGA-PBE
Structure: relaxed

Its formation energy is -262 meV per atom. The value obtained for the magnetic moment is 0.00 μB per formula unit.

Lattice parameters (Å, degrees): 9.864 4.077 14.376 90.00 106.32 90.00
Space group C2/m (No. 12)
Symmetry-distinct sites (fractional):
Mg (0.009, 0.000, 0.364) [4 per cell]
Mg (0.111, 0.000, 0.927) [4 per cell]
Mg (0.227, 0.000, 0.226) [4 per cell]
Ga (0.003, 0.500, 0.218) [4 per cell]
Ga (0.112, 0.500, 0.075) [4 per cell]
Ga (0.137, 0.500, 0.534) [4 per cell]
Au (0.225, 0.500, 0.370) [4 per cell]